This record from the Alexandria database describes an optimized crystal structure of Er8Mg2Tl. The functional is PBE.

a = 16.189 Å, b = 5.307 Å, c = 8.493 Å
α = 90.00°, β = 120.98°, γ = 90.00°
Space group C2/m (No. 12)
Unique sites:
Er (0.066, 0.000, 0.220) x4
Er (0.092, 0.500, 0.956) x4
Er (0.137, 0.000, 0.681) x4
Er (0.182, 0.500, 0.445) x4
Mg (0.227, 0.000, 0.114) x4
Tl (0.000, 0.500, 0.500) x2

Properties
**Formation energy**: -82 meV per atom
**Density of states at the Fermi level**: 21.78 states/eV/cell
**Calculated total energy**: -3.9055 eV per atom

---

This record from the Alexandria database describes an optimized crystal structure of MgVI3. The functional is PBE.

a = 5.690 Å, b = 5.690 Å, c = 5.690 Å
α = 90.00°, β = 90.00°, γ = 90.00°
Space group Pm-3m (No. 221)
Unique sites:
Mg (0.000, 0.000, 0.000) x1
V (0.500, 0.500, 0.500) x1
I (0.000, 0.000, 0.500) x3

Properties
**Density of states at the Fermi level**: 10.03 states/eV/cell
**Uncorrected formation energy**: 114 meV per atom
**Relative energy among the computed polymorphs**: 1.10 eV/f.u.
**Calculated total energy**: -2.9590 eV per atom

---

This record from the Alexandria database describes an optimized crystal structure of Ca2CO5. The functional is PBE.

a = 3.591 Å, b = 7.914 Å, c = 14.683 Å
α = 90.00°, β = 90.00°, γ = 90.00°
Space group Cmcm (No. 63)
Unique sites:
Ca (0.000, 0.180, 0.102) x8
C (0.000, 0.170, 0.750) x4
O (0.000, 0.124, 0.670) x8
O (0.000, 0.198, 0.250) x4
O (0.000, 0.407, 0.511) x8

Properties
**Density of states at the Fermi level**: 0.00 states/eV/cell
**Uncorrected formation energy**: -1736 meV per atom
**Calculated total energy**: -6.4886 eV per atom

---

The lowest calculated total energy belongs to which entry? Ca2CO5

---

Among the records above, which one has the highest calculated total energy? MgVI3

---

Look up the calculated total energy of the first one. -3.9055 eV per atom